Entry 1:
Na2ZnRhF8: optimized geometry, GGA-PBE.

## Properties
energy relative to the elements, uncorrected = -2.157 eV per atom
total magnetization = 1.03 μB per cell
Fermi-level density of states = 8.3 states/eV/f.u.

Cell and atoms, written as CIF:
```
data_Na2ZnRhF8
_cell_length_a 5.0250
_cell_length_b 6.7264
_cell_length_c 5.0271
_cell_angle_alpha 90.00
_cell_angle_beta 93.79
_cell_angle_gamma 90.00
_space_group_name_H-M_alt 'P 1 2/m 1'
_space_group_IT_number 10
loop_
_space_group_symop_operation_xyz
'x,y,z'
'-x,-y,-z'
'-x,y,-z'
'x,-y,z'
loop_
_atom_site_label
_atom_site_fract_x
_atom_site_fract_y
_atom_site_fract_z
Na1 0.0000 0.2410 0.0000
Zn1 0.5000 0.0000 0.5000
Rh1 0.5000 0.5000 0.5000
F1 0.2207 0.5000 0.2185
F2 0.2273 0.0000 0.2262
F3 0.3218 0.2803 0.6766
```

---

Entry 2:
Nb2MoSe2: optimized geometry, GGA-PBE.

## Properties
ΔE to the lowest computed polymorph = 983 meV per atom
energy relative to the elements, uncorrected = 0.931 eV per atom
total magnetization = 0.00 μB per cell
Fermi-level density of states = 6.6 states/eV/f.u.

Cell and atoms, written as CIF:
```
data_Nb2MoSe2
_cell_length_a 4.9968
_cell_length_b 4.9968
_cell_length_c 4.6173
_cell_angle_alpha 90.00
_cell_angle_beta 90.00
_cell_angle_gamma 90.00
_space_group_name_H-M_alt 'P 4/m m m'
_space_group_IT_number 123
_space_group_name_Hall '-P 4 2'
loop_
_atom_site_label
_atom_site_fract_x
_atom_site_fract_y
_atom_site_fract_z
Nb1 0.0000 0.5000 0.0000
Mo1 0.0000 0.0000 0.0000
Se1 0.0000 0.0000 0.5000
Se2 0.5000 0.5000 0.5000
```

---

Entry 3:
DyPaPbC: optimized geometry, GGA-PBE.

## Properties
formation energy from the elements = -1.11 eV per formula unit
total magnetization = 0.00 μB per cell
Fermi-level density of states = 3.3 states/eV/f.u.

Cell and atoms, written as CIF:
```
data_DyPaPbC
_cell_length_a 3.5025
_cell_length_b 3.5025
_cell_length_c 26.4610
_cell_angle_alpha 90.00
_cell_angle_beta 90.00
_cell_angle_gamma 120.00
_space_group_name_H-M_alt 'R 3 m'
_space_group_IT_number 160
_space_group_name_Hall 'R 3 -2"'
loop_
_atom_site_label
_atom_site_fract_x
_atom_site_fract_y
_atom_site_fract_z
Dy1 0.0000 0.0000 0.0000
Pa1 0.0000 0.0000 0.4390
Pb1 0.0000 0.0000 0.5622
C1 0.0000 0.0000 0.7222
```

---

Entry 4:
Li2SbI6: optimized geometry, GGA-PBE.

## Properties
energy relative to the elements, uncorrected = -0.581 eV per atom
total magnetization = 0.00 μB per cell
Fermi-level density of states = 10.0 states/eV/f.u.

Cell and atoms, written as CIF:
```
data_Li2SbI6
_cell_length_a 7.0939
_cell_length_b 7.0939
_cell_length_c 13.1407
_cell_angle_alpha 90.00
_cell_angle_beta 90.00
_cell_angle_gamma 90.00
_space_group_name_H-M_alt 'P 42/m n m'
_space_group_IT_number 136
_space_group_name_Hall '-P 4n 2n'
loop_
_atom_site_label
_atom_site_fract_x
_atom_site_fract_y
_atom_site_fract_z
Li1 0.0000 0.0000 0.1702
Sb1 0.0000 0.0000 0.5000
I1 0.1976 0.1976 0.0000
I2 0.1991 0.1991 0.3302
```

---

| no. | density (g cm⁻³) |
| --- | --- |
| 1 | 3.6 |
| 2 | 6.3 |
| 3 | 10.9 |
| 4 | 4.5 |